LiGe3Pd3: relaxed, GGA-PBE.

a = 6.8922 Å, b = 6.8922 Å, c = 6.8922 Å
α = 90.00°, β = 90.00°, γ = 90.00°
Sites, in units of the cell vectors:
Li: 0.0000 0.0000 0.0000
Li: 0.5000 0.5000 0.5000
Ge: 0.0000 0.2500 0.5000
Ge: 0.0000 0.7500 0.5000
Ge: 0.2500 0.5000 0.0000
Ge: 0.5000 0.0000 0.2500
Ge: 0.5000 0.0000 0.7500
Ge: 0.7500 0.5000 0.0000
Pd: 0.0000 0.5000 0.2500
Pd: 0.0000 0.5000 0.7500
Pd: 0.2500 0.0000 0.5000
Pd: 0.5000 0.2500 0.0000
Pd: 0.5000 0.7500 0.0000
Pd: 0.7500 0.0000 0.5000

Calculated values
energy above the most stable polymorph in this dataset = 0.3474 eV/atom
crystal system = cubic
total DFT energy (no corrections) = -4.553 eV per atom
N(E_F) = 0.43 states/eV per atom
energy of formation = -76 meV/atom

=====

Li3Ge2Pd: relaxed, GGA-PBE.

a = 7.9074 Å, b = 7.9074 Å, c = 7.9074 Å
α = 140.71°, β = 57.76°, γ = 139.42°
Sites, in units of the cell vectors:
Li: 0.1743 0.2092 0.3835
Li: 0.2500 0.2500 0.0000
Li: 0.3257 0.7092 0.0349
Li: 0.6743 0.2908 0.9651
Li: 0.7500 0.7500 0.0000
Li: 0.8257 0.7908 0.6165
Ge: 0.1324 0.7078 0.8402
Ge: 0.3676 0.2078 0.5753
Ge: 0.6324 0.7922 0.4247
Ge: 0.8676 0.2922 0.1598
Pd: 0.2500 0.7500 0.5000
Pd: 0.7500 0.2500 0.5000

Calculated values
crystal system = orthorhombic
total DFT energy (no corrections) = -3.668 eV per atom
N(E_F) = 0.41 states/eV per atom
energy of formation = -306 meV/atom

=====

Li3Ge3Pd5: relaxed, GGA-PBE.

a = 7.4791 Å, b = 7.4791 Å, c = 4.4936 Å
α = 90.00°, β = 90.00°, γ = 120.00°
Sites, in units of the cell vectors:
Li: 0.0000 0.6173 0.0000
Li: 0.3826 0.3826 0.0000
Li: 0.6173 0.0000 0.0000
Ge: 0.0000 0.3738 0.5000
Ge: 0.3738 0.0000 0.5000
Ge: 0.6262 0.6262 0.5000
Pd: 0.0000 0.7740 0.5000
Pd: 0.2260 0.2260 0.5000
Pd: 0.3333 0.6667 0.5000
Pd: 0.6667 0.3333 0.5000
Pd: 0.7740 0.0000 0.5000

Calculated values
crystal system = hexagonal
total DFT energy (no corrections) = -4.468 eV per atom
N(E_F) = 0.35 states/eV per atom
energy of formation = -326 meV/atom

=====

LiGe2Pd3: relaxed, GGA-PBE.

a = 7.1525 Å, b = 7.1525 Å, c = 7.1525 Å
α = 50.55°, β = 50.55°, γ = 50.55°
Sites, in units of the cell vectors:
Li: 0.0000 0.0000 0.0000
Li: 0.5000 0.5000 0.5000
Ge: 0.1422 0.1422 0.1422
Ge: 0.3578 0.3578 0.3578
Ge: 0.6422 0.6422 0.6422
Ge: 0.8578 0.8578 0.8578
Pd: 0.0191 0.7500 0.4809
Pd: 0.2500 0.5191 0.9809
Pd: 0.4809 0.0191 0.7500
Pd: 0.5191 0.9809 0.2500
Pd: 0.7500 0.4809 0.0191
Pd: 0.9809 0.2500 0.5191

Calculated values
energy above the most stable polymorph in this dataset = 0.0969 eV/atom
crystal system = trigonal
total DFT energy (no corrections) = -4.791 eV per atom
N(E_F) = 0.28 states/eV per atom
energy of formation = -337 meV/atom

=====

LiGe2Pd: relaxed, GGA-PBE.

a = 9.0035 Å, b = 9.0035 Å, c = 9.0035 Å
α = 151.56°, β = 119.86°, γ = 67.84°
Sites, in units of the cell vectors:
Li: 0.1992 0.1992 0.0000
Li: 0.1998 0.0000 0.1998
Li: 0.8002 0.0000 0.8002
Li: 0.8008 0.8008 0.0000
Ge: 0.0799 0.5799 0.5000
Ge: 0.1741 0.8144 0.3597
Ge: 0.4160 0.4160 0.0000
Ge: 0.4546 0.8144 0.6403
Ge: 0.5454 0.1856 0.3597
Ge: 0.5840 0.5840 0.0000
Ge: 0.8259 0.1856 0.6403
Ge: 0.9201 0.4201 0.5000
Pd: 0.0910 0.3465 0.7445
Pd: 0.3980 0.6535 0.7445
Pd: 0.6020 0.3465 0.2555
Pd: 0.9090 0.6535 0.2555

Calculated values
energy above the most stable polymorph in this dataset = 0.0554 eV/atom
crystal system = orthorhombic
total DFT energy (no corrections) = -4.390 eV per atom
N(E_F) = 0.26 states/eV per atom
energy of formation = -305 meV/atom

=====

Li6GePd3: relaxed, GGA-PBE.

a = 8.3673 Å, b = 8.3673 Å, c = 4.8935 Å
α = 90.00°, β = 90.00°, γ = 118.03°
Sites, in units of the cell vectors:
Li: 0.0455 0.4497 0.0010
Li: 0.0506 0.9494 0.5000
Li: 0.2835 0.7165 0.7009
Li: 0.3037 0.3837 0.8218
Li: 0.3837 0.3037 0.3218
Li: 0.4497 0.0455 0.5010
Li: 0.5503 0.9545 0.0010
Li: 0.6163 0.6963 0.8218
Li: 0.6963 0.6163 0.3218
Li: 0.7165 0.2835 0.2009
Li: 0.9494 0.0506 0.0000
Li: 0.9545 0.5503 0.5010
Ge: 0.2093 0.7907 0.2009
Ge: 0.7907 0.2093 0.7009
Pd: 0.0659 0.2944 0.4356
Pd: 0.2944 0.0659 0.9356
Pd: 0.3799 0.6201 0.2626
Pd: 0.6201 0.3799 0.7626
Pd: 0.7056 0.9341 0.4356
Pd: 0.9341 0.7056 0.9356

Calculated values
crystal system = orthorhombic
total DFT energy (no corrections) = -3.532 eV per atom
N(E_F) = 0.38 states/eV per atom
energy of formation = -365 meV/atom

=====

Li8Ge6Pd: relaxed, GGA-PBE.

a = 6.9337 Å, b = 6.9337 Å, c = 6.9337 Å
α = 65.54°, β = 65.54°, γ = 65.54°
Sites, in units of the cell vectors:
Li: 0.0627 0.3752 0.7021
Li: 0.1641 0.1641 0.1641
Li: 0.2979 0.9373 0.6248
Li: 0.3752 0.7021 0.0627
Li: 0.6248 0.2979 0.9373
Li: 0.7021 0.0627 0.3752
Li: 0.8359 0.8359 0.8359
Li: 0.9373 0.6248 0.2979
Ge: 0.1190 0.7855 0.4560
Ge: 0.2145 0.5440 0.8810
Ge: 0.4560 0.1190 0.7855
Ge: 0.5440 0.8810 0.2145
Ge: 0.7855 0.4560 0.1190
Ge: 0.8810 0.2145 0.5440
Pd: 0.5000 0.5000 0.5000

Calculated values
crystal system = trigonal
total DFT energy (no corrections) = -3.467 eV per atom
N(E_F) = 0.24 states/eV per atom
energy of formation = -253 meV/atom

=====

Li3Ge3Pd2: relaxed, GGA-PBE.

a = 5.3493 Å, b = 5.3493 Å, c = 12.6557 Å
α = 90.00°, β = 90.00°, γ = 132.92°
Sites, in units of the cell vectors:
Li: 0.0739 0.9261 0.6091
Li: 0.0739 0.9261 0.8909
Li: 0.3092 0.6908 0.7500
Li: 0.6908 0.3092 0.2500
Li: 0.9261 0.0739 0.1091
Li: 0.9261 0.0739 0.3909
Ge: 0.3805 0.6195 0.2500
Ge: 0.3999 0.6001 0.5616
Ge: 0.3999 0.6001 0.9384
Ge: 0.6001 0.3999 0.0616
Ge: 0.6001 0.3999 0.4384
Ge: 0.6195 0.3805 0.7500
Pd: 0.2252 0.7748 0.0888
Pd: 0.2252 0.7748 0.4112
Pd: 0.7748 0.2252 0.5888
Pd: 0.7748 0.2252 0.9112

Calculated values
energy above the most stable polymorph in this dataset = 0.0000 eV/atom
crystal system = orthorhombic
total DFT energy (no corrections) = -4.165 eV per atom
N(E_F) = 0.36 states/eV per atom
energy of formation = -417 meV/atom

=====

LiGe2Pd: relaxed, GGA-PBE.

a = 14.1675 Å, b = 7.7781 Å, c = 5.0046 Å
α = 90.00°, β = 90.00°, γ = 90.00°
Sites, in units of the cell vectors:
Li: 0.1111 0.2500 0.2385
Li: 0.1475 0.7500 0.4804
Li: 0.3525 0.2500 0.9804
Li: 0.3889 0.7500 0.7385
Li: 0.6111 0.2500 0.2615
Li: 0.6475 0.7500 0.0196
Li: 0.8525 0.2500 0.5196
Li: 0.8889 0.7500 0.7615
Ge: 0.0324 0.0411 0.7425
Ge: 0.0324 0.4589 0.7425
Ge: 0.2159 0.5422 0.9655
Ge: 0.2159 0.9578 0.9655
Ge: 0.2841 0.0422 0.4655
Ge: 0.2841 0.4578 0.4655
Ge: 0.4676 0.5411 0.2425
Ge: 0.4676 0.9589 0.2425
Ge: 0.5324 0.0411 0.7575
Ge: 0.5324 0.4589 0.7575
Ge: 0.7159 0.5422 0.5345
Ge: 0.7159 0.9578 0.5345
Ge: 0.7841 0.0422 0.0345
Ge: 0.7841 0.4578 0.0345
Ge: 0.9676 0.5411 0.2575
Ge: 0.9676 0.9589 0.2575
Pd: 0.0738 0.7500 0.9816
Pd: 0.1732 0.2500 0.7326
Pd: 0.3268 0.7500 0.2326
Pd: 0.4262 0.2500 0.4816
Pd: 0.5738 0.7500 0.5184
Pd: 0.6732 0.2500 0.7674
Pd: 0.8268 0.7500 0.2674
Pd: 0.9262 0.2500 0.0184

Calculated values
energy above the most stable polymorph in this dataset = 0.0174 eV/atom
crystal system = orthorhombic
total DFT energy (no corrections) = -4.428 eV per atom
N(E_F) = 0.33 states/eV per atom
energy of formation = -343 meV/atom

=====

LiGe4Pd6: relaxed, GGA-PBE.

a = 7.4602 Å, b = 7.4602 Å, c = 3.7212 Å
α = 90.00°, β = 90.00°, γ = 120.00°
Sites, in units of the cell vectors:
Li: 0.0000 0.0000 0.0000
Ge: 0.3333 0.6667 0.0000
Ge: 0.3668 0.1834 0.5000
Ge: 0.8166 0.1834 0.5000
Ge: 0.8166 0.6332 0.5000
Pd: 0.1978 0.3957 0.5000
Pd: 0.1978 0.8022 0.5000
Pd: 0.5363 0.0726 0.0000
Pd: 0.5363 0.4637 0.0000
Pd: 0.6043 0.8022 0.5000
Pd: 0.9274 0.4637 0.0000

Calculated values
crystal system = hexagonal
total DFT energy (no corrections) = -5.214 eV per atom
N(E_F) = 0.28 states/eV per atom
energy of formation = -528 meV/atom

=====

LiGe2Pd: relaxed, GGA-PBE.

a = 5.9886 Å, b = 5.9886 Å, c = 5.9886 Å
α = 100.41°, β = 100.41°, γ = 129.68°
Sites, in units of the cell vectors:
Li: 0.0000 0.0000 0.0000
Li: 0.7500 0.2500 0.5000
Ge: 0.1817 0.6250 0.0567
Ge: 0.3750 0.4317 0.5567
Ge: 0.5683 0.1250 0.9433
Ge: 0.8750 0.8183 0.4433
Pd: 0.2500 0.7500 0.5000
Pd: 0.5000 0.5000 0.0000

Calculated values
energy above the most stable polymorph in this dataset = 0.1964 eV/atom
crystal system = tetragonal
total DFT energy (no corrections) = -4.249 eV per atom
N(E_F) = 0.32 states/eV per atom
energy of formation = -164 meV/atom

=====

Li5Ge2Pd5: relaxed, GGA-PBE.

a = 4.2338 Å, b = 4.2338 Å, c = 10.7256 Å
α = 94.13°, β = 94.13°, γ = 61.82°
Sites, in units of the cell vectors:
Li: 0.0000 0.0000 0.0000
Li: 0.3412 0.3412 0.4215
Li: 0.3545 0.3545 0.1633
Li: 0.6455 0.6455 0.8367
Li: 0.6588 0.6588 0.5785
Ge: 0.3005 0.3005 0.6819
Ge: 0.6995 0.6995 0.3181
Pd: 0.0000 0.0000 0.5000
Pd: 0.0331 0.0331 0.2488
Pd: 0.3227 0.3227 0.9186
Pd: 0.6773 0.6773 0.0814
Pd: 0.9669 0.9669 0.7512

Calculated values
crystal system = monoclinic
total DFT energy (no corrections) = -4.229 eV per atom
N(E_F) = 0.34 states/eV per atom
energy of formation = -499 meV/atom

=====

LiGe2Pd4: relaxed, GGA-PBE.

a = 17.9135 Å, b = 4.1158 Å, c = 5.9560 Å
α = 90.00°, β = 90.00°, γ = 90.00°
Sites, in units of the cell vectors:
Li: 0.1278 0.2500 0.0696
Li: 0.3722 0.7500 0.5696
Li: 0.6278 0.2500 0.4304
Li: 0.8722 0.7500 0.9304
Ge: 0.0484 0.7500 0.2554
Ge: 0.1999 0.2500 0.6470
Ge: 0.3001 0.7500 0.1470
Ge: 0.4516 0.2500 0.7554
Ge: 0.5484 0.7500 0.2446
Ge: 0.6999 0.2500 0.8530
Ge: 0.8001 0.7500 0.3530
Ge: 0.9516 0.2500 0.7446
Pd: 0.0356 0.7500 0.8454
Pd: 0.0703 0.2500 0.5170
Pd: 0.1821 0.7500 0.3868
Pd: 0.1977 0.7500 0.8772
Pd: 0.3023 0.2500 0.3772
Pd: 0.3179 0.2500 0.8868
Pd: 0.4297 0.7500 0.0170
Pd: 0.4644 0.2500 0.3454
Pd: 0.5356 0.7500 0.6546
Pd: 0.5703 0.2500 0.9830
Pd: 0.6821 0.7500 0.1132
Pd: 0.6977 0.7500 0.6228
Pd: 0.8023 0.2500 0.1228
Pd: 0.8179 0.2500 0.6132
Pd: 0.9297 0.7500 0.4830
Pd: 0.9644 0.2500 0.1546

Calculated values
energy above the most stable polymorph in this dataset = 0.0000 eV/atom
crystal system = orthorhombic
total DFT energy (no corrections) = -5.089 eV per atom
N(E_F) = 0.33 states/eV per atom
energy of formation = -529 meV/atom

=====

Li2GePd5: relaxed, GGA-PBE.

a = 5.3701 Å, b = 10.3035 Å, c = 4.1386 Å
α = 90.00°, β = 90.00°, γ = 90.00°
Sites, in units of the cell vectors:
Li: 0.1543 0.1366 0.0000
Li: 0.3457 0.6366 0.0000
Li: 0.6543 0.3634 0.0000
Li: 0.8457 0.8634 0.0000
Ge: 0.0000 0.5000 0.5000
Ge: 0.5000 0.0000 0.5000
Pd: 0.0000 0.0000 0.5000
Pd: 0.1168 0.7342 0.5000
Pd: 0.1735 0.3903 0.0000
Pd: 0.3265 0.8903 0.0000
Pd: 0.3832 0.2342 0.5000
Pd: 0.5000 0.5000 0.5000
Pd: 0.6168 0.7658 0.5000
Pd: 0.6735 0.1097 0.0000
Pd: 0.8265 0.6097 0.0000
Pd: 0.8832 0.2658 0.5000

Calculated values
energy above the most stable polymorph in this dataset = 0.0000 eV/atom
crystal system = orthorhombic
total DFT energy (no corrections) = -4.825 eV per atom
N(E_F) = 0.21 states/eV per atom
energy of formation = -524 meV/atom

=====

LiGe2Pd: relaxed, GGA-PBE.

a = 9.1508 Å, b = 9.1508 Å, c = 9.1508 Å
α = 19.06°, β = 19.06°, γ = 19.06°
Sites, in units of the cell vectors:
Li: 0.0000 0.0000 0.0000
Ge: 0.0932 0.0932 0.0932
Ge: 0.9068 0.9068 0.9068
Pd: 0.5000 0.5000 0.5000

Calculated values
energy above the most stable polymorph in this dataset = 0.2034 eV/atom
crystal system = trigonal
total DFT energy (no corrections) = -4.242 eV per atom
N(E_F) = 0.53 states/eV per atom
energy of formation = -157 meV/atom

=====

LiPmGe2Pd: relaxed, GGA-PBE.

a = 6.1744 Å, b = 6.1744 Å, c = 6.1744 Å
α = 140.71°, β = 140.71°, γ = 56.78°
Sites, in units of the cell vectors:
Li: 0.0000 0.0000 0.0000
Pm: 0.7500 0.2500 0.5000
Ge: 0.1359 0.6359 0.5000
Ge: 0.3641 0.8641 0.5000
Pd: 0.5000 0.5000 0.0000

Calculated values
crystal system = tetragonal
total DFT energy (no corrections) = -4.984 eV per atom
N(E_F) = 0.50 states/eV per atom
energy of formation = -766 meV/atom

=====

Li3Pm2Ge4Pd: relaxed, GGA-PBE.

a = 4.2610 Å, b = 4.2610 Å, c = 10.2104 Å
α = 90.00°, β = 90.00°, γ = 90.00°
Sites, in units of the cell vectors:
Li: 0.0000 0.0000 0.0000
Li: 0.0000 0.5000 0.6298
Li: 0.5000 0.0000 0.3702
Pm: 0.0000 0.5000 0.2547
Pm: 0.5000 0.0000 0.7453
Ge: 0.0000 0.0000 0.5000
Ge: 0.0000 0.5000 0.8687
Ge: 0.5000 0.0000 0.1313
Ge: 0.5000 0.5000 0.5000
Pd: 0.5000 0.5000 0.0000

Calculated values
crystal system = tetragonal
total DFT energy (no corrections) = -4.503 eV per atom
N(E_F) = 0.30 states/eV per atom
energy of formation = -613 meV/atom

=====

LiPmGePd2: relaxed, GGA-PBE.

a = 6.5960 Å, b = 6.5960 Å, c = 6.5960 Å
α = 146.53°, β = 143.09°, γ = 50.67°
Sites, in units of the cell vectors:
Li: 0.0000 0.0000 0.0000
Pm: 0.7484 0.2484 0.5000
Ge: 0.3666 0.8666 0.5000
Pd: 0.1554 0.6554 0.5000
Pd: 0.4994 0.4994 0.0000

Calculated values
crystal system = orthorhombic
total DFT energy (no corrections) = -5.003 eV per atom
N(E_F) = 0.60 states/eV per atom
energy of formation = -670 meV/atom

=====

LiPm2Ge4Pd3: relaxed, GGA-PBE.

a = 4.2819 Å, b = 4.2819 Å, c = 10.4444 Å
α = 90.00°, β = 90.00°, γ = 90.00°
Sites, in units of the cell vectors:
Li: 0.0000 0.0000 0.0000
Pm: 0.0000 0.5000 0.7530
Pm: 0.5000 0.0000 0.2470
Ge: 0.0000 0.0000 0.5000
Ge: 0.0000 0.5000 0.1341
Ge: 0.5000 0.0000 0.8659
Ge: 0.5000 0.5000 0.5000
Pd: 0.0000 0.5000 0.3707
Pd: 0.5000 0.0000 0.6293
Pd: 0.5000 0.5000 0.0000

Calculated values
crystal system = tetragonal
total DFT energy (no corrections) = -5.299 eV per atom
N(E_F) = 0.45 states/eV per atom
energy of formation = -753 meV/atom